# 1
Below is crystalline PrTl3In3I8 at its relaxed geometry, with properties calculated at the GGA-PBE level.

## Properties
The crystal system is monoclinic. The value obtained for the mass density is 5.02 g cm⁻³. The value obtained for the total energy is -2.8472 eV/atom.

Cell: 16.891 10.583 9.403 Å, 90.00 123.63 90.00°
Space group C2/m (No. 12)
One atom of each set of equivalent atoms:
Pr 0.000 0.000 0.000 [2 per cell]
Tl 0.000 0.000 0.500 [2 per cell]
Tl 0.250 0.250 0.500 [4 per cell]
In 0.000 0.500 0.000 [2 per cell]
In 0.250 0.250 0.000 [4 per cell]
I 0.002 0.228 0.778 [8 per cell]
I 0.227 0.000 0.224 [4 per cell]
I 0.247 0.500 0.245 [4 per cell]

***

# 2
Below is crystalline In2PtI at its relaxed geometry, with properties calculated at the GGA-PBE level.

## Properties
The crystal system is tetragonal. The value obtained for the mass density is 6.05 g cm⁻³. The value obtained for the total energy is -3.4255 eV/atom. Its energy above the most stable polymorph in this dataset is 148 meV per atom.

Cell: 6.615 6.615 13.847 Å, 90.00 90.00 90.00°
Space group I-42d (No. 122)
One atom of each set of equivalent atoms:
In 0.156 0.250 0.125 [8 per cell]
Pt 0.000 0.000 0.000 [4 per cell]
I 0.000 0.000 0.500 [4 per cell]

***

# 3
Below is crystalline In2PtI at its relaxed geometry, with properties calculated at the GGA-PBE level.

## Properties
The crystal system is trigonal. The value obtained for the mass density is 8.21 g cm⁻³. The value obtained for the total energy is -3.5733 eV/atom. Its energy above the most stable polymorph in this dataset is 0 meV per atom.

Cell: 4.1289 4.1289 22.6642 Å, 90.00 90.00 120.00°
Space group R-3m (No. 166, hexagonal axes)
One atom of each set of equivalent atoms:
In 0.0000 0.0000 0.2271 [6 per cell]
Pt 0.0000 0.0000 0.5000 [3 per cell]
I 0.0000 0.0000 0.0000 [3 per cell]

***

# 4
Below is crystalline In2PtI at its relaxed geometry, with properties calculated at the GGA-PBE level.

## Properties
The crystal system is cubic. The value obtained for the mass density is 8.87 g cm⁻³. The value obtained for the total energy is -3.0068 eV/atom. Its energy above the most stable polymorph in this dataset is 566 meV per atom.

Cell: 7.448 7.448 7.448 Å, 90.00 90.00 90.00°
Space group Fm-3m (No. 225)
One atom of each set of equivalent atoms:
In 0.250 0.250 0.250 [8 per cell]
Pt 0.000 0.000 0.000 [4 per cell]
I 0.000 0.000 0.500 [4 per cell]

***

Calculated E_form (uncorrected), -0.68, -0.16, -0.31, 0.26 eV per atom (same order as the records).